# Y6HoErTm2 | the Alexandria database | PBE | relaxed
# Spin magnetization = 0.00 μB per formula unit
# Symmetry = C2/c
# DFT formation energy = 0.12 eV per atom
# VASP energy = -5.57 eV/atom
# Mass density = 6.2 g/cm³
data_Y6HoErTm2
_chemical_formula_sum 'Y12 Ho2 Er2 Tm4'
_cell_length_a 9.560
_cell_length_b 8.729
_cell_length_c 8.729
_cell_angle_alpha 117.37
_cell_angle_beta 94.21
_cell_angle_gamma 94.21
_space_group_name_H-M_alt 'P 1'
_space_group_IT_number 1
loop_
_space_group_symop_operation_xyz
'x,y,z'
loop_
_atom_site_label
_atom_site_fract_x
_atom_site_fract_y
_atom_site_fract_z
_atom_site_occupancy
Y1 0.056 0.121 0.755 1
Y2 0.444 0.245 0.879 1
Y3 0.944 0.879 0.245 1
Y4 0.556 0.755 0.121 1
Y5 0.317 0.983 0.431 1
Y6 0.183 0.569 0.017 1
Y7 0.683 0.017 0.569 1
Y8 0.817 0.431 0.983 1
Y9 0.118 0.707 0.495 1
Y10 0.382 0.505 0.293 1
Y11 0.882 0.293 0.505 1
Y12 0.618 0.495 0.707 1
Ho1 0.250 0.408 0.592 1
Ho2 0.750 0.592 0.408 1
Er1 0.250 0.976 0.024 1
Er2 0.750 0.024 0.976 1
Tm1 0.454 0.804 0.702 1
Tm2 0.046 0.298 0.196 1
Tm3 0.546 0.196 0.298 1
Tm4 0.954 0.702 0.804 1